[1]
DFT (PBE) results for a relaxed Pm2AlGa12 crystal.

Lattice parameters (Å, degrees): 6.3546 6.3546 15.0066 90.00 90.00 90.00
Fractional positions:
Pm 0.2500 0.7500 0.2428
Pm 0.2500 0.7500 0.7572
Pm 0.7500 0.2500 0.2428
Pm 0.7500 0.2500 0.7572
Al 0.2500 0.7500 0.0000
Al 0.7500 0.2500 0.0000
Ga 0.0008 0.5008 0.0905
Ga 0.0008 0.9992 0.9095
Ga 0.0803 0.5803 0.5717
Ga 0.0803 0.9197 0.4283
Ga 0.2500 0.2500 0.1812
Ga 0.2500 0.2500 0.3451
Ga 0.2500 0.2500 0.6549
Ga 0.2500 0.2500 0.8188
Ga 0.4197 0.5803 0.4283
Ga 0.4197 0.9197 0.5717
Ga 0.4992 0.5008 0.9095
Ga 0.4992 0.9992 0.0905
Ga 0.5008 0.0008 0.9095
Ga 0.5008 0.4992 0.0905
Ga 0.5803 0.0803 0.4283
Ga 0.5803 0.4197 0.5717
Ga 0.7500 0.7500 0.1812
Ga 0.7500 0.7500 0.3451
Ga 0.7500 0.7500 0.6549
Ga 0.7500 0.7500 0.8188
Ga 0.9197 0.0803 0.5717
Ga 0.9197 0.4197 0.4283
Ga 0.9992 0.0008 0.0905
Ga 0.9992 0.4992 0.9095

ΔE_f   -277 meV/atom
Symmetry   P4/nbm
Uncorrected energy   -0.263 Ry/atom

[2]
DFT (PBE) results for a relaxed CsNa2Sr crystal.

Lattice parameters (Å, degrees): 6.8131 6.8131 6.8131 60.00 60.00 60.00
Fractional positions:
Cs 0.0000 0.0000 0.0000
Na 0.2500 0.2500 0.2500
Na 0.7500 0.7500 0.7500
Sr 0.5000 0.5000 0.5000

Offset from the most stable computed form   41 meV/atom
ΔE_f   90 meV/atom
Symmetry   Fm-3m
Uncorrected energy   -0.088 Ry/atom

[3]
DFT (PBE) results for a relaxed IrI2N2 crystal.

Lattice parameters (Å, degrees): 5.7010 5.7010 3.6824 90.00 90.00 90.00
Fractional positions:
Ir 0.0000 0.0000 0.0000
I 0.0000 0.5000 0.0000
I 0.5000 0.0000 0.0000
N 0.0000 0.0000 0.5000
N 0.5000 0.5000 0.5000

Offset from the most stable computed form   117 meV/atom
Symmetry   P4/mmm
Uncorrected energy   -0.320 Ry/atom

[4]
DFT (PBE) results for a relaxed Ca2Er2Rh3 crystal.

Lattice parameters (Å, degrees): 8.6367 8.6367 8.6367 31.97 31.97 31.97
Fractional positions:
Ca 0.1257 0.1257 0.1257
Ca 0.8743 0.8743 0.8743
Er 0.3750 0.3750 0.3750
Er 0.6250 0.6250 0.6250
Rh 0.0000 0.0000 0.0000
Rh 0.2597 0.2597 0.2597
Rh 0.7403 0.7403 0.7403

ΔE_f   -639 meV/atom
Symmetry   R-3m
Uncorrected energy   -0.416 Ry/atom

[5]
DFT (PBE) results for a relaxed Tm2BeCo crystal.

Lattice parameters (Å, degrees): 3.8222 5.5881 5.5881 40.14 90.00 90.00
Fractional positions:
Tm 0.0000 0.0000 0.0000
Tm 0.5000 0.2786 0.2786
Be 0.5000 0.5848 0.5848
Co 0.0000 0.6929 0.6929

Offset from the most stable computed form   0 meV/atom
ΔE_f   -184 meV/atom
Symmetry   Amm2
Uncorrected energy   -0.377 Ry/atom

[6]
DFT (PBE) results for a relaxed HfGePb3 crystal.

Lattice parameters (Å, degrees): 5.6253 5.6253 5.6253 90.00 90.00 90.00
Fractional positions:
Hf 0.0000 0.0000 0.0000
Ge 0.5000 0.5000 0.5000
Pb 0.0000 0.0000 0.5000
Pb 0.0000 0.5000 0.0000
Pb 0.5000 0.0000 0.0000

Offset from the most stable computed form   0 meV/atom
ΔE_f   681 meV/atom
Symmetry   Pm-3m
Uncorrected energy   -0.328 Ry/atom

[7]
DFT (PBE) results for a relaxed ErScCd crystal.

Lattice parameters (Å, degrees): 4.9738 4.9738 4.9738 120.09 120.09 89.85
Fractional positions:
Er 0.0000 0.0000 0.0000
Sc 0.5000 0.5000 0.0000
Cd 0.7500 0.2500 0.5000

Offset from the most stable computed form   316 meV/atom
ΔE_f   134 meV/atom
Symmetry   I-4m2
Uncorrected energy   -0.279 Ry/atom

[8]
DFT (PBE) results for a relaxed Sm2AlPd3 crystal.

Lattice parameters (Å, degrees): 5.6646 5.6646 8.4515 90.00 90.00 120.00
Fractional positions:
Sm 0.3333 0.6667 0.0577
Sm 0.3333 0.6667 0.4423
Sm 0.6667 0.3333 0.5577
Sm 0.6667 0.3333 0.9423
Al 0.0000 0.0000 0.0000
Al 0.0000 0.0000 0.5000
Pd 0.1669 0.3337 0.7500
Pd 0.1669 0.8331 0.7500
Pd 0.3337 0.1669 0.2500
Pd 0.6663 0.8331 0.7500
Pd 0.8331 0.1669 0.2500
Pd 0.8331 0.6663 0.2500

ΔE_f   -835 meV/atom
Symmetry   P6_3/mmc
Uncorrected energy   -0.414 Ry/atom